1.
VASP calculation (PBE-GGA) on an optimized crystal structure of HoBi12O20.

As for the formation energy (no corrections): -1.332 eV/atom. Its raw total energy is -5.887 eV/atom. For the density of states at the Fermi level, the calculation gives 0.619 states/eV per atom.

It has space group I23 (No. 197), with a = 10.316 Å, b = 10.316 Å, c = 10.316 Å, α = 90.00°, β = 90.00° and γ = 90.00°. The inequivalent atoms are Ho at (0.000, 0.000, 0.000), Bi at (0.004, 0.318, 0.826), O at (0.013, 0.254, 0.367), O at (0.122, 0.122, 0.122) and O at (0.169, 0.169, 0.831).

2.
VASP calculation (PBE-GGA) on an optimized crystal structure of HoBiO3.

As for the formation energy (no corrections): -2.380 eV/atom. Its raw total energy is -7.047 eV/atom. For the density of states at the Fermi level, the calculation gives 0.000 states/eV per atom.

It has space group C2/m (No. 12), with a = 12.162 Å, b = 4.013 Å, c = 6.764 Å, α = 90.00°, β = 96.71° and γ = 90.00°. The inequivalent atoms are Ho at (0.130, 0.000, 0.414), Bi at (0.133, 0.500, 0.861), O at (0.049, 0.000, 0.709), O at (0.172, 0.500, 0.535) and O at (0.186, 0.000, 0.105).

3.
VASP calculation (PBE-GGA) on an optimized crystal structure of HoBiO.

As for the formation energy (no corrections): -1.962 eV/atom. Its raw total energy is -6.434 eV/atom. For the density of states at the Fermi level, the calculation gives 0.491 states/eV per atom.

It has space group P-3m1 (No. 164), with a = 3.6173 Å, b = 3.6173 Å, c = 12.5493 Å, α = 90.00°, β = 90.00° and γ = 120.00°. The inequivalent atoms are Ho at (0.3333, 0.6667, 0.3770), Bi at (0.3333, 0.6667, 0.8503) and O at (0.3333, 0.6667, 0.5682).

4.
VASP calculation (PBE-GGA) on an optimized crystal structure of HoBiO4.

As for the formation energy (no corrections): -2.016 eV/atom. Its raw total energy is -6.732 eV/atom.

It has space group P2_1/c (No. 14), with a = 7.807 Å, b = 5.477 Å, c = 7.804 Å, α = 90.00°, β = 96.19° and γ = 90.00°. The inequivalent atoms are Ho at (0.133, 0.232, 0.383), Bi at (0.339, 0.728, 0.177), O at (0.106, 0.507, 0.167), O at (0.159, 0.008, 0.110), O at (0.326, 0.587, 0.922) and O at (0.415, 0.100, 0.823).